The following is a PBE-GGA calculation of a relaxed SrIrClO4 crystal, from the Alexandria database.

* formation energy (no corrections): -8.24 eV per formula unit
* space group: C2/m (12)
* electronic total energy: -5.780 eV per atom
* total moment: 2.04 μB/f.u.
* crystal system: monoclinic

Cell: 6.650 6.650 7.398 Å, 101.69 101.69 71.78°
Fractional coordinates of all 14 atoms:
Sr 0.208 0.208 0.113
Sr 0.792 0.792 0.887
Ir 0.364 0.364 0.729
Ir 0.636 0.636 0.271
Cl 0.020 0.020 0.762
Cl 0.980 0.980 0.238
O 0.141 0.484 0.858
O 0.288 0.288 0.488
O 0.467 0.467 0.232
O 0.484 0.141 0.858
O 0.516 0.859 0.142
O 0.533 0.533 0.768
O 0.712 0.712 0.512
O 0.859 0.516 0.142